Here is an optimized crystal structure of AlTcP2 from Alexandria via LeMat-Bulk. Energies are from PBE-GGA.

Cell: 4.281 4.281 5.547 Å, 101.94 101.94 42.39°
Fractional coordinates of all 4 atoms:
P 0.700 0.700 0.620
P 0.034 0.034 0.011
Tc 0.420 0.420 0.676
Al 0.347 0.347 0.193

Its total energy is -26.1 eV per cell. The value obtained for the energy of formation is -0.290 eV/atom. The symmetry is Cm (8). Its total magnetization is 0.0 μB/f.u.